Be2NiW: optimized geometry, PBE.

Results
**Space-group type**: I-42d
**Formation energy from the elements**: 0.323 eV per atom

a b c (Å): 6.051 6.051 4.946
angles (deg): 90.00 90.00 90.00
Atoms (fractional coordinates):
Be (0.217, 0.250, 0.125)
Be (0.250, 0.717, 0.375)
Be (0.250, 0.783, 0.875)
Be (0.283, 0.250, 0.625)
Be (0.717, 0.750, 0.625)
Be (0.750, 0.217, 0.875)
Be (0.750, 0.283, 0.375)
Be (0.783, 0.750, 0.125)
Ni (0.000, 0.000, 0.000)
Ni (0.000, 0.500, 0.250)
Ni (0.500, 0.000, 0.750)
Ni (0.500, 0.500, 0.500)
W (0.000, 0.000, 0.500)
W (0.000, 0.500, 0.750)
W (0.500, 0.000, 0.250)
W (0.500, 0.500, 0.000)

=====

YFe2Ir: optimized geometry, PBE.

Results
**Space-group type**: P4mm
**Formation energy from the elements**: -0.025 eV per atom

a b c (Å): 3.140 3.140 6.580
angles (deg): 90.00 90.00 90.00
Atoms (fractional coordinates):
Y (0.000, 0.000, 0.000)
Fe (0.000, 0.000, 0.516)
Fe (0.500, 0.500, 0.699)
Ir (0.500, 0.500, 0.294)

=====

Tb3Ga4Ge2: optimized geometry, PBE.

Results
**Space-group type**: C2/m
**Formation energy from the elements**: -0.661 eV per atom

a b c (Å): 5.912 5.912 8.360
angles (deg): 99.90 99.90 41.50
Atoms (fractional coordinates):
Tb (0.000, 0.000, 0.000)
Tb (0.332, 0.332, 0.333)
Tb (0.668, 0.668, 0.667)
Ga (0.027, 0.027, 0.363)
Ga (0.299, 0.299, 0.968)
Ga (0.701, 0.701, 0.032)
Ga (0.973, 0.973, 0.637)
Ge (0.368, 0.368, 0.701)
Ge (0.632, 0.632, 0.299)

=====

Th3Al2Ga9Au: optimized geometry, PBE.

Results
**Space-group type**: P-3m1
**Formation energy from the elements**: -0.138 eV per atom

a b c (Å): 5.905 5.905 12.003
angles (deg): 90.00 90.00 120.00
Atoms (fractional coordinates):
Th (0.000, 0.000, 0.000)
Th (0.333, 0.667, 0.779)
Th (0.667, 0.333, 0.221)
Al (0.333, 0.667, 0.165)
Al (0.667, 0.333, 0.835)
Ga (0.000, 0.500, 0.000)
Ga (0.159, 0.318, 0.326)
Ga (0.159, 0.841, 0.326)
Ga (0.318, 0.159, 0.674)
Ga (0.500, 0.000, 0.000)
Ga (0.500, 0.500, 0.000)
Ga (0.682, 0.841, 0.326)
Ga (0.841, 0.159, 0.674)
Ga (0.841, 0.682, 0.674)
Au (0.000, 0.000, 0.500)

=====

Number 4 is which compound?
Th3Al2Ga9Au

=====

The lowest formation energy from the elements belongs to which entry?
Tb3Ga4Ge2